Record 1
! Fe2CuTe2H24C23I | OQMD via LeMat-Bulk | PBE | relaxed; values from VASP
! Energy ... -640.78 eV per cell
! Magnetization ... 0.0 μB/f.u.
! Space group ... P-1
&SYSTEM
  ibrav = 0, nat = 106, ntyp = 6
/
ATOMIC_SPECIES
C 12.01 C.upf
Cu 63.55 Cu.upf
Fe 55.84 Fe.upf
H 1.01 H.upf
I 126.90 I.upf
Te 127.60 Te.upf
CELL_PARAMETERS angstrom
-10.267 0.935 -2.352
5.579 -5.758 -8.257
0.825 -7.520 8.912
ATOMIC_POSITIONS crystal
C 0.684 0.789 0.003
C 0.347 0.574 0.007
C 0.357 0.108 0.015
C 0.720 0.262 0.034
C 0.309 0.675 0.060
C 0.627 0.949 0.097
C 0.002 0.698 0.101
C 0.662 0.426 0.117
C 0.067 0.845 0.125
C 0.692 0.782 0.126
C 0.704 0.325 0.142
C 0.657 0.882 0.184
C 0.083 0.648 0.196
C 0.083 0.298 0.229
C 0.025 0.170 0.241
C 0.237 0.343 0.259
C 0.145 0.135 0.278
C 0.277 0.242 0.290
C 0.663 0.643 0.412
C 0.806 0.736 0.428
C 0.677 0.530 0.439
C 0.908 0.680 0.466
C 0.827 0.553 0.472
C 0.173 0.447 0.528
C 0.092 0.320 0.534
C 0.323 0.470 0.561
C 0.194 0.264 0.572
C 0.337 0.357 0.588
C 0.723 0.758 0.710
C 0.855 0.865 0.722
C 0.763 0.657 0.741
C 0.975 0.830 0.759
C 0.917 0.702 0.771
C 0.917 0.352 0.804
C 0.343 0.118 0.816
C 0.296 0.675 0.858
C 0.308 0.218 0.874
C 0.933 0.155 0.875
C 0.338 0.574 0.883
C 0.998 0.302 0.899
C 0.373 0.051 0.903
C 0.691 0.325 0.940
C 0.280 0.738 0.966
C 0.643 0.892 0.985
C 0.653 0.426 0.993
C 0.316 0.211 0.997
Cu 0.384 0.960 0.391
Cu 0.616 0.040 0.609
Fe 0.487 0.753 0.017
Fe 0.188 0.303 0.408
Fe 0.812 0.697 0.592
Fe 0.513 0.247 0.983
H 0.992 0.650 0.006
H 0.748 0.179 0.022
H 0.377 0.510 0.055
H 0.298 0.274 0.066
H 0.987 0.872 0.066
H 0.889 0.663 0.097
H 0.377 0.081 0.101
H 0.168 0.882 0.108
H 0.594 0.028 0.112
H 0.036 0.540 0.159
H 0.719 0.713 0.168
H 0.639 0.489 0.182
H 0.020 0.354 0.206
H 0.912 0.111 0.226
H 0.715 0.298 0.228
H 0.312 0.439 0.263
H 0.653 0.903 0.277
H 0.076 0.676 0.288
H 0.386 0.245 0.318
H 0.563 0.657 0.387
H 0.834 0.832 0.417
H 0.590 0.444 0.439
H 0.025 0.728 0.489
H 0.872 0.487 0.500
H 0.128 0.513 0.500
H 0.975 0.272 0.511
H 0.410 0.556 0.561
H 0.166 0.168 0.583
H 0.437 0.343 0.613
H 0.614 0.755 0.682
H 0.924 0.324 0.712
H 0.347 0.097 0.723
H 0.688 0.561 0.737
H 0.285 0.702 0.772
H 0.088 0.889 0.774
H 0.980 0.646 0.794
H 0.361 0.511 0.818
H 0.281 0.287 0.832
H 0.964 0.460 0.841
H 0.406 0.972 0.888
H 0.832 0.118 0.892
H 0.623 0.919 0.899
H 0.111 0.337 0.903
H 0.013 0.128 0.934
H 0.702 0.726 0.934
H 0.623 0.490 0.945
H 0.252 0.821 0.978
H 0.008 0.350 0.994
I 0.625 0.151 0.422
I 0.375 0.849 0.578
Te 0.320 0.723 0.248
Te 0.131 0.962 0.321
Te 0.869 0.038 0.679
Te 0.680 0.277 0.752

=====

Record 2
! LuMgTl | OQMD via LeMat-Bulk | PBE | relaxed; values from VASP
! Energy ... -8.78 eV per cell
! Magnetization ... 0.0 μB/f.u.
! Space group ... F-43m
&SYSTEM
  ibrav = 0, nat = 3, ntyp = 3
/
ATOMIC_SPECIES
Lu 174.97 Lu.upf
Mg 24.30 Mg.upf
Tl 204.38 Tl.upf
CELL_PARAMETERS angstrom
0.000 3.463 3.463
3.463 0.000 3.463
3.463 3.463 0.000
ATOMIC_POSITIONS crystal
Lu 0.250 0.250 0.250
Mg 0.750 0.750 0.750
Tl 0.000 0.000 0.000

=====

Record 3
! YErGa6 | OQMD via LeMat-Bulk | PBE | relaxed; values from VASP
! Energy ... -33.40 eV per cell
! Magnetization ... 0.0 μB/f.u.
! Space group ... P-6m2
&SYSTEM
  ibrav = 0, nat = 8, ntyp = 3
/
ATOMIC_SPECIES
Er 167.26 Er.upf
Ga 69.72 Ga.upf
Y 88.91 Y.upf
CELL_PARAMETERS angstrom
6.252 0.000 0.000
-3.126 5.414 0.000
0.000 0.000 4.553
ATOMIC_POSITIONS crystal
Er 0.333 0.667 0.500
Ga 0.518 0.036 0.000
Ga 0.518 0.482 0.000
Ga 0.964 0.482 0.000
Ga 0.370 0.185 0.500
Ga 0.815 0.185 0.500
Ga 0.815 0.630 0.500
Y 0.000 0.000 0.000

=====

Record 4
! TbGeNO | OQMD via LeMat-Bulk | PBE | relaxed; values from VASP
! Offset from the most stable computed form ... 0.346 eV/atom
! Magnetization ... 0.0 μB/f.u.
! Space group ... P4/nmm
&SYSTEM
  ibrav = 0, nat = 8, ntyp = 4
/
ATOMIC_SPECIES
Ge 72.64 Ge.upf
N 14.01 N.upf
O 16.00 O.upf
Tb 158.93 Tb.upf
CELL_PARAMETERS angstrom
4.167 0.000 0.000
0.000 4.167 0.000
0.000 0.000 7.727
ATOMIC_POSITIONS crystal
Ge 0.000 0.000 0.500
Ge 0.500 0.500 0.500
N 0.000 0.500 0.414
N 0.500 0.000 0.586
O 0.000 0.000 0.000
O 0.500 0.500 0.000
Tb 0.000 0.500 0.125
Tb 0.500 0.000 0.875

=====

Record 5
! HoBiPd | OQMD via LeMat-Bulk | PBE | relaxed; values from VASP
! Energy ... -48.44 eV per cell
! Magnetization ... 0.0 μB/f.u.
! Space group ... P-62m
&SYSTEM
  ibrav = 0, nat = 9, ntyp = 3
/
ATOMIC_SPECIES
Bi 208.98 Bi.upf
Ho 164.93 Ho.upf
Pd 106.42 Pd.upf
CELL_PARAMETERS angstrom
7.683 0.000 0.000
-3.841 6.653 0.000
0.000 0.000 4.146
ATOMIC_POSITIONS crystal
Bi 0.272 0.000 0.000
Bi 0.000 0.272 0.000
Bi 0.728 0.728 0.000
Ho 0.608 0.000 0.500
Ho 0.392 0.392 0.500
Ho 0.000 0.608 0.500
Pd 0.667 0.333 0.000
Pd 0.333 0.667 0.000
Pd 0.000 0.000 0.500

=====

Record 6
! CuBiPF | OQMD via LeMat-Bulk | PBE | relaxed; values from VASP
! Offset from the most stable computed form ... 0.326 eV/atom
! Space group ... R-3m
&SYSTEM
  ibrav = 0, nat = 8, ntyp = 4
/
ATOMIC_SPECIES
Bi 208.98 Bi.upf
Cu 63.55 Cu.upf
F 19.00 F.upf
P 30.97 P.upf
CELL_PARAMETERS angstrom
3.084 -6.610 9.274
5.582 -7.856 6.806
6.284 -4.770 8.772
ATOMIC_POSITIONS crystal
Bi 0.207 0.207 0.207
Bi 0.793 0.793 0.793
Cu 0.374 0.374 0.374
Cu 0.626 0.626 0.626
F 0.312 0.312 0.312
F 0.688 0.688 0.688
P 0.078 0.078 0.078
P 0.922 0.922 0.922

=====

What is the formula in the sixth record?
CuBiPF

=====

What is the formula in the third record?
YErGa6

=====

What is the formula in the sixth record?
CuBiPF